Entry 1:
Entry from the Open Quantum Materials Database: a relaxed structure of KLuPu (PBE).

Cell lengths 5.7116, 5.7116, 5.7116 Å; angles 60.00, 60.00, 60.00 degrees
Positions (direct):
K: 0.0000 0.0000 0.0000
Lu: 0.5000 0.5000 0.5000
Pu: 0.2500 0.2500 0.2500

## Properties
Offset from the most stable computed form ... 0.0000 eV/atom

***

Entry 2:
Entry from the Open Quantum Materials Database: a relaxed structure of KRbLu (PBE).

Cell lengths 6.5817, 6.5817, 6.5817 Å; angles 60.00, 60.00, 60.00 degrees
Positions (direct):
K: 0.0000 0.0000 0.0000
Rb: 0.2500 0.2500 0.2500
Lu: 0.7500 0.7500 0.7500

## Properties
Offset from the most stable computed form ... 0.0000 eV/atom

***

> offset from the most stable computed form of number 1 (KLuPu)?

0.0000 eV/atom